No. 1
Tc2AuBr: optimized geometry, GGA-PBE.

Geometry as POSCAR:
```
Tc2AuBr
1.0
2.949 -0.072 0.000
-1.467 2.559 0.000
0.000 0.000 9.284
Tc Au Br
2 1 1
Direct
0.000 0.000 0.508
0.000 0.000 0.992
0.500 0.500 0.250
0.500 0.500 0.750
```

Output
Polymorph energy (0 for the lowest one) (meV per atom): 675
Uncorrected formation energy (eV per atom): 0.95

No. 2
Nb2GeOs: optimized geometry, GGA-PBE.

Geometry as POSCAR:
```
Nb2GeOs
1.0
-0.106 2.592 1.343
-2.569 1.327 0.414
-1.758 -2.859 8.554
Nb Ge Os
2 1 1
Direct
0.251 0.251 0.247
0.749 0.749 0.753
0.500 0.500 0.500
0.000 0.000 0.000
```

Output
ΔE_f (eV/atom): 0.01

no.,total energy (eV/atom)
1,-5.468
2,-8.986